{
  "formula": "Re2HgPt",
  "functional": "PBE",
  "state": "optimized geometry",
  "lattice": [[-3.699, 0.646, 3.133], [-2.741, -1.904, 3.575], [2.730, 1.709, 3.950]],
  "species": ["Hg", "Pt", "Re", "Re"],
  "fractional_positions": [[0.502, 0.502, 0.487], [0.257, 0.257, 0.251], [0.996, 0.996, 0.977], [0.745, 0.745, 0.785]],
  "crystal_system": "monoclinic",
  "e_form_ev_per_atom": 0.460
}

***

{
  "formula": "ReHgPt2",
  "functional": "PBE",
  "state": "optimized geometry",
  "lattice": [[-1.673, -4.011, -2.312], [0.938, -2.701, 4.007], [-2.562, 0.521, 0.951]],
  "species": ["Hg", "Pt", "Pt", "Re"],
  "fractional_positions": [[0.000, 0.500, 0.500], [0.000, 0.000, 0.000], [0.500, 0.500, 0.000], [0.500, 0.000, 0.500]],
  "crystal_system": "tetragonal",
  "e_form_ev_per_atom": 0.308
}

***

{
  "formula": "ReHgPt2",
  "functional": "PBE",
  "state": "optimized geometry",
  "lattice": [[-3.730, 0.989, 3.081], [-3.768, -3.038, -0.976], [4.792, -0.869, 0.818]],
  "species": ["Hg", "Pt", "Pt", "Re"],
  "fractional_positions": [[0.750, 0.250, 0.500], [0.000, 0.000, 0.000], [0.500, 0.500, 0.000], [0.250, 0.750, 0.500]],
  "crystal_system": "tetragonal",
  "e_form_ev_per_atom": 0.405
}

***

{
  "formula": "ReHgPt",
  "functional": "PBE",
  "state": "optimized geometry",
  "lattice": [[2.880, 0.000, 0.000], [-1.440, 2.494, 0.000], [0.000, 0.000, 7.079]],
  "species": ["Hg", "Pt", "Re"],
  "fractional_positions": [[0.000, 0.000, 0.000], [0.667, 0.333, 0.352], [0.333, 0.667, 0.648]],
  "crystal_system": "trigonal",
  "e_form_ev_per_atom": 0.344,
  "de_polymorph_ev_per_atom": 0.008
}

***

Number 1: calculated total energy -7.350 eV per atom. Number 2: calculated total energy -5.900 eV per atom. Number 3: calculated total energy -5.803 eV per atom. Number 4: calculated total energy -5.920 eV per atom.